## P
! LiZnPt (PBE-GGA, optimized geometry); values from VASP
! space group = F-43m
! volume = 17.40 Å³/atom
! M_tot = 0.00 μB/atom
! calculated density = 8.5 g/cm³
&SYSTEM
  ibrav = 0, nat = 3, ntyp = 3
/
ATOMIC_SPECIES
Li 6.94 Li.upf
Pt 195.08 Pt.upf
Zn 65.41 Zn.upf
CELL_PARAMETERS angstrom
4.1953 0.0000 0.0000
2.0976 3.6332 0.0000
2.0976 1.2111 3.4254
ATOMIC_POSITIONS angstrom
Li 4.1953 2.4221 1.7127
Pt 6.2929 3.6332 2.5691
Zn 0.0000 0.0000 0.0000

---

## Q
! LiZnPt (PBE-GGA, optimized geometry); values from VASP
! space group = Imm2
! volume = 14.07 Å³/atom
! M_tot = 0.00 μB/atom
! calculated density = 10.5 g/cm³
&SYSTEM
  ibrav = 0, nat = 3, ntyp = 3
/
ATOMIC_SPECIES
Zn 65.41 Zn.upf
Li 6.94 Li.upf
Pt 195.08 Pt.upf
CELL_PARAMETERS angstrom
-3.7532 1.5991 -2.1398
-3.9982 -2.1824 0.6883
3.4807 2.1963 2.0696
ATOMIC_POSITIONS angstrom
Zn -5.2054 -0.3917 -0.9747
Li -7.7288 -0.5816 -1.4472
Pt -2.5685 -0.1933 -0.4809

---

What is the most stable structure shown above? It is Q.